Compound: KLaCl2
Source: Alexandria via LeMat-Bulk
Functional: PBE-GGA
Structure: optimized geometry

Properties
uncorrected formation energy = -1.668 eV/atom
magnetization = 0.00 μB per cell
DFT total energy = -4.10 eV/atom
excess energy over the best structure of this formula in the dataset = 0 meV/atom
symmetry = No. 166

Structure (POSCAR):
```
KLaCl2
1.0
3.8758 0.0000 0.0000
-1.9379 3.3566 0.0000
0.0000 0.0000 25.2460
K La Cl
3 3 6
Cartesian
0.0000 0.0000 0.0000
0.0000 2.2377 16.8307
1.9379 1.1188 8.4153
0.0000 0.0000 12.6230
0.0000 2.2377 4.2077
1.9379 1.1188 21.0383
0.0000 0.0000 6.3342
0.0000 0.0000 18.9117
0.0000 2.2377 10.4964
0.0000 2.2377 23.1649
1.9379 1.1188 2.0811
1.9379 1.1188 14.7496
```